# 1
Computed, not measured: NdY2Pd3Pb3 after structural relaxation at the GGA-PBE level of DFT.

Cell lengths 3.920, 7.888, 7.888 Å; angles 120.17, 90.00, 90.00 degrees
Atoms (fractional coordinates):
Nd: 0.000 0.402 0.402
Pb: 0.500 0.997 0.265
Pb: 0.500 0.736 0.736
Pb: 0.500 0.265 0.997
Pd: 0.500 0.670 0.332
Pd: 0.500 0.332 0.670
Pd: 0.000 0.998 0.998
Y: 0.000 0.600 0.000
Y: 0.000 0.000 0.600

## Properties
Space group: Amm2 (38)
Calculated total energy in eV/atom: -5.66

***

# 2
Computed, not measured: PrNd2Pb7 after structural relaxation at the GGA-PBE level of DFT.

Cell lengths 13.311, 13.311, 4.787 Å; angles 90.00, 90.00, 159.39 degrees
Atoms (fractional coordinates):
Nd: 0.812 0.188 0.000
Nd: 0.188 0.812 0.000
Pb: 0.597 0.403 0.000
Pb: 0.403 0.597 0.000
Pb: 0.903 0.097 0.500
Pb: 0.707 0.293 0.500
Pb: 0.500 0.500 0.500
Pb: 0.293 0.707 0.500
Pb: 0.097 0.903 0.500
Pr: 0.000 0.000 0.000

## Properties
Space group: Cmmm (65)
Calculated total energy in eV/atom: -4.46

***

# 3
Computed, not measured: Pr2NdPb7 after structural relaxation at the GGA-PBE level of DFT.

Cell lengths 13.343, 13.343, 4.795 Å; angles 90.00, 90.00, 159.45 degrees
Atoms (fractional coordinates):
Nd: 0.000 0.000 0.000
Pb: 0.596 0.404 0.000
Pb: 0.404 0.596 0.000
Pb: 0.904 0.096 0.500
Pb: 0.707 0.293 0.500
Pb: 0.500 0.500 0.500
Pb: 0.293 0.707 0.500
Pb: 0.096 0.904 0.500
Pr: 0.813 0.187 0.000
Pr: 0.187 0.813 0.000

## Properties
Space group: Cmmm (65)
Calculated total energy in eV/atom: -4.47

***

# 4
Computed, not measured: PrNd2Pt3Pb3 after structural relaxation at the GGA-PBE level of DFT.

Cell lengths 4.144, 7.838, 7.838 Å; angles 120.04, 90.00, 90.00 degrees
Atoms (fractional coordinates):
Nd: 0.000 0.407 0.000
Nd: 0.000 0.000 0.407
Pb: 0.500 0.743 0.000
Pb: 0.500 0.257 0.257
Pb: 0.500 0.000 0.743
Pr: 0.000 0.592 0.592
Pt: 0.000 0.001 0.001
Pt: 0.500 0.667 0.332
Pt: 0.500 0.332 0.667

## Properties
Space group: Amm2 (38)
Calculated total energy in eV/atom: -5.68

***

# 5
Computed, not measured: PrNdPt4Pb2 after structural relaxation at the GGA-PBE level of DFT.

Cell lengths 4.730, 4.730, 9.273 Å; angles 90.00, 90.00, 120.00 degrees
Atoms (fractional coordinates):
Nd: 0.000 0.000 0.000
Pb: 0.333 0.667 0.249
Pb: 0.333 0.667 0.751
Pr: 0.667 0.333 0.500
Pt: 0.667 0.333 0.154
Pt: 0.000 0.000 0.344
Pt: 0.000 0.000 0.656
Pt: 0.667 0.333 0.846

## Properties
Space group: P-6m2 (187)
Calculated total energy in eV/atom: -5.87

***

# 6
Computed, not measured: PrNdZn2Pb2 after structural relaxation at the GGA-PBE level of DFT.

Cell lengths 4.680, 4.680, 16.631 Å; angles 90.00, 90.00, 120.00 degrees
Atoms (fractional coordinates):
Nd: 0.000 0.000 0.000
Nd: 0.000 0.000 0.500
Pb: 0.667 0.333 0.112
Pb: 0.667 0.333 0.388
Pb: 0.333 0.667 0.612
Pb: 0.333 0.667 0.888
Pr: 0.000 0.000 0.250
Pr: 0.000 0.000 0.750
Zn: 0.333 0.667 0.162
Zn: 0.333 0.667 0.338
Zn: 0.667 0.333 0.662
Zn: 0.667 0.333 0.838

## Properties
Space group: P6_3/mmc (194)
Calculated total energy in eV/atom: -3.72
Offset from the most stable computed form in eV per atom: 0.004